The following is a DFT calculation (PBE-GGA) of a relaxed structure of K3Pu2NiS6.

Properties
- calculated density (Mg/m³) = 4.823
- volume (Å³/cell) = 294.9
- space group = No. 12
- raw formation energy (eV per atom) = -1.205
- magnetization (μB/cell) = 7.00

abc: 6.8186 6.8186 7.6688
angles: 98.51 98.51 120.03
Atoms (fractional coordinates):
1 K 0.0000 0.0000 0.0000
2 K 0.3341 0.6659 0.0000
3 K 0.6659 0.3341 0.0000
4 Pu 0.1667 0.8333 0.5000
5 Pu 0.8333 0.1667 0.5000
6 Ni 0.5000 0.5000 0.5000
7 S 0.1137 0.4355 0.3063
8 S 0.2430 0.2430 0.6928
9 S 0.4355 0.1137 0.3063
10 S 0.5645 0.8863 0.6937
11 S 0.7570 0.7570 0.3072
12 S 0.8863 0.5645 0.6937


The following is a DFT calculation (PBE-GGA) of a relaxed structure of K2Pu2NiS6.

Properties
- calculated density (Mg/m³) = 4.713
- volume (Å³/cell) = 287.9
- space group = No. 12
- raw formation energy (eV per atom) = -1.143
- magnetization (μB/cell) = 10.10

abc: 6.6339 6.6339 7.8454
angles: 98.29 98.29 119.50
Atoms (fractional coordinates):
1 K 0.1683 0.8317 0.0000
2 K 0.8317 0.1683 0.0000
3 Pu 0.3334 0.6666 0.5000
4 Pu 0.6666 0.3334 0.5000
5 Ni 0.0000 0.0000 0.5000
6 S 0.0637 0.3763 0.6871
7 S 0.2432 0.2432 0.3164
8 S 0.3763 0.0637 0.6871
9 S 0.6237 0.9363 0.3129
10 S 0.7568 0.7568 0.6836
11 S 0.9363 0.6237 0.3129